DFT (PBE) results for a relaxed structure of Cu3Sn. Values from VASP.

Output
DFT total energy: -3.793 eV per atom

Structure (Quantum ESPRESSO input):
```
&SYSTEM
  ibrav = 0, nat = 40, ntyp = 2
/
ATOMIC_SPECIES
Cu 63.55 Cu.upf
Sn 118.71 Sn.upf
ATOMIC_POSITIONS angstrom
Cu 2.7609 -22.8558 1.0738
Cu 1.3626 -10.4773 1.0738
Cu 2.7609 -18.0411 1.0738
Cu 1.3724 -5.6132 1.0738
Cu 1.3143 -0.7583 1.0738
Cu 2.7609 -13.1616 1.0738
Cu 2.7609 -8.2859 1.0738
Cu 1.4154 4.1026 1.0738
Cu 2.7609 -3.3865 1.0738
Cu 1.4016 8.9764 1.0738
Cu 4.1593 -10.4773 1.0738
Cu 4.1495 -5.6132 1.0738
Cu 4.2076 -0.7583 1.0738
Cu 4.1065 4.1026 1.0738
Cu 4.1203 8.9764 1.0738
Cu 1.4016 -8.9764 3.2215
Cu 1.4154 -4.1026 3.2215
Cu 1.3143 0.7583 3.2215
Cu 1.3724 5.6132 3.2215
Cu 1.3626 10.4773 3.2215
Cu 4.1203 -8.9764 3.2215
Cu 2.7609 3.3865 3.2215
Cu 4.1065 -4.1026 3.2215
Cu 2.7609 8.2859 3.2215
Cu 2.7609 13.1616 3.2215
Cu 4.2076 0.7583 3.2215
Cu 4.1495 5.6132 3.2215
Cu 2.7609 18.0411 3.2215
Cu 4.1593 10.4773 3.2215
Cu 2.7609 22.8558 3.2215
Sn 2.7609 1.6630 1.0738
Sn 2.7609 6.5490 1.0738
Sn 2.7609 11.4145 1.0738
Sn 2.7609 16.2791 1.0738
Sn 2.7609 21.1086 1.0738
Sn 2.7609 -21.1086 3.2215
Sn 2.7609 -16.2791 3.2215
Sn 2.7609 -11.4145 3.2215
Sn 2.7609 -6.5490 3.2215
Sn 2.7609 -1.6630 3.2215
CELL_PARAMETERS angstrom
2.7609 -24.3218 0.0000
2.7609 24.3218 0.0000
0.0000 0.0000 4.2953
```